The following is a DFT calculation (GGA-PBE) of a relaxed Mg2PdSeF crystal.

a = 5.0466 Å, b = 4.0808 Å, c = 5.0466 Å
α = 90.00°, β = 90.00°, γ = 90.00°
Last column: nearest neighbours and their distance in Å.
Sites, in units of the cell vectors:
Se1 0.5000 0.5000 0.5000  8 Mg 3.25, 4 F 3.57
Pd1 0.0000 0.0000 0.0000  2 F 2.04
Mg1 0.5000 0.0000 0.0000  2 Pd 2.52
Mg2 0.0000 0.0000 0.5000  2 Pd 2.52
F1 0.0000 0.5000 0.0000  2 Pd 2.04

Summary:
energy relative to the elements, uncorrected: -15.11 kcal/mol of atoms
DFT total energy: -0.25011 Ry per atom
DOS(E_F): 1.58 states/eV per cell